Compound: Os3RuW
Source: the Alexandria database
Functional: PBE
Structure: relaxed

Output
ΔH_f (0 K)   2.62 eV per atom
Theoretical density   14.84 Mg/m³
SG   Pm-3m
Energy relative to the lowest polymorph listed for this composition   2.115 eV per atom

The structure in POSCAR format:
```
Os3RuW
1.0
-2.6994 -1.2628 -3.4711
-3.0227 -1.7155 2.9748
-2.1228 4.0487 0.1779
Ru Os W
1 3 1
direct
0.0000 0.0000 0.0000
0.0000 0.5000 0.0000
0.0000 0.0000 0.5000
0.5000 0.0000 0.0000
0.5000 0.5000 0.5000
```

=====

Compound: OsRuW2
Source: the Alexandria database
Functional: PBE
Structure: relaxed

Output
ΔH_f (0 K)   0.05 eV per atom
Theoretical density   18.04 Mg/m³
SG   Cmmm
Energy relative to the lowest polymorph listed for this composition   0.008 eV per atom

The structure in POSCAR format:
```
OsRuW2
1.0
-1.5162 1.1325 5.9642
1.5647 -4.2831 -1.4140
2.1221 0.1729 1.8212
Os Ru W
1 1 2
direct
0.0000 0.5000 0.5000
0.5000 0.5000 0.0000
0.0000 0.0000 0.0000
0.5000 0.0000 0.5000
```

=====

Compound: OsRu4W
Source: the Alexandria database
Functional: PBE
Structure: relaxed

Output
ΔH_f (0 K)   0.52 eV per atom
Theoretical density   14.47 Mg/m³
SG   F-43m
Energy relative to the lowest polymorph listed for this composition   0.545 eV per atom

The structure in POSCAR format:
```
OsRu4W
1.0
0.0000 3.5476 3.5476
3.5476 0.0000 3.5476
3.5476 3.5476 0.0000
Os Ru W
1 4 1
direct
0.0000 0.0000 0.0000
0.6255 0.6255 0.1234
0.6255 0.1234 0.6255
0.6255 0.6255 0.6255
0.1234 0.6255 0.6255
0.2500 0.2500 0.2500
```

=====

Compound: OsRuW2
Source: the Alexandria database
Functional: PBE
Structure: relaxed

Output
ΔH_f (0 K)   1.47 eV per atom
Theoretical density   12.06 Mg/m³
SG   I-42d
Energy relative to the lowest polymorph listed for this composition   1.423 eV per atom

The structure in POSCAR format:
```
OsRuW2
1.0
5.6410 0.0000 0.0000
0.0000 5.6410 0.0000
2.8205 2.8205 5.7036
Ru Os W
2 2 4
direct
0.5000 0.5000 0.0000
0.2500 0.7500 0.5000
0.0000 0.0000 0.0000
0.7500 0.2500 0.5000
0.6221 0.1250 0.2500
0.1279 0.6250 0.2500
0.3750 0.3779 0.7500
0.8750 0.8721 0.7500
```

=====

Compound: Os3RuW
Source: the Alexandria database
Functional: PBE
Structure: relaxed

Output
ΔH_f (0 K)   0.50 eV per atom
Theoretical density   17.95 Mg/m³
SG   P-1
Energy relative to the lowest polymorph listed for this composition   0.000 eV per atom

The structure in POSCAR format:
```
Os3RuW
1.0
-0.2829 -4.9528 1.4349
7.6428 -4.6015 -0.7034
3.0741 3.1521 2.3841
Os Ru W
6 2 2
direct
0.2158 0.3130 0.1225
0.7697 0.9886 0.3614
0.4855 0.7653 0.0150
0.9076 0.8874 0.9841
0.0779 0.4142 0.4998
0.5000 0.5363 0.4690
0.9927 0.1508 0.7420
0.9927 0.6508 0.7420
0.3100 0.9660 0.4192
0.6755 0.3355 0.0648
```

=====

Compound: OsRuW4
Source: the Alexandria database
Functional: PBE
Structure: relaxed

Output
ΔH_f (0 K)   0.47 eV per atom
Theoretical density   17.53 Mg/m³
SG   F-43m

The structure in POSCAR format:
```
OsRuW4
1.0
5.0148 -0.9977 -0.7095
1.7909 -4.8003 0.6297
1.5317 -2.7415 -4.0969
Os Ru W
1 1 4
direct
0.7500 0.7500 0.7500
0.0000 0.0000 0.0000
0.8748 0.3751 0.3751
0.3751 0.3751 0.8748
0.3751 0.8748 0.3751
0.3751 0.3751 0.3751
```

=====

Compound: OsRuW2
Source: the Alexandria database
Functional: PBE
Structure: relaxed

Output
ΔH_f (0 K)   0.17 eV per atom
Theoretical density   18.00 Mg/m³
SG   R-3m
Energy relative to the lowest polymorph listed for this composition   0.124 eV per atom

The structure in POSCAR format:
```
OsRuW2
1.0
9.2654 0.0150 0.0088
8.8459 2.7565 0.0088
8.8459 1.3536 2.4012
Os Ru W
1 1 2
direct
0.2500 0.2500 0.2500
0.7500 0.7500 0.7500
0.0002 0.0002 0.0002
0.4998 0.4998 0.4998
```

=====

Compound: OsRuW2
Source: the Alexandria database
Functional: PBE
Structure: relaxed

Output
ΔH_f (0 K)   0.29 eV per atom
Theoretical density   17.88 Mg/m³
SG   Pmmm
Energy relative to the lowest polymorph listed for this composition   0.244 eV per atom

The structure in POSCAR format:
```
OsRuW2
1.0
-0.4718 2.4764 -1.8508
-2.9790 -2.3563 -2.3933
-3.1936 1.3611 2.6351
Os Ru W
1 1 2
direct
0.5000 0.0000 0.5000
0.0000 0.5000 0.5000
0.0000 0.0000 0.0000
0.5000 0.5000 0.0000
```

=====

Compound: OsRuW2
Source: the Alexandria database
Functional: PBE
Structure: relaxed

Output
ΔH_f (0 K)   0.15 eV per atom
Theoretical density   17.93 Mg/m³
SG   Pmm2
Energy relative to the lowest polymorph listed for this composition   0.102 eV per atom

The structure in POSCAR format:
```
OsRuW2
1.0
-2.2359 -0.3402 -1.6556
-0.1440 -3.7425 0.9634
-3.3884 1.2426 4.3207
Os Ru W
1 1 2
direct
0.0000 0.0000 0.4960
0.5000 0.5000 0.7545
0.0000 0.0000 0.9849
0.5000 0.5000 0.2646
```

=====

Compound: OsRuW2
Source: the Alexandria database
Functional: PBE
Structure: relaxed

Output
ΔH_f (0 K)   0.27 eV per atom
Theoretical density   17.68 Mg/m³
SG   Imm2
Energy relative to the lowest polymorph listed for this composition   0.223 eV per atom

The structure in POSCAR format:
```
OsRuW2
1.0
-4.2939 -2.1495 -2.1333
0.5559 -4.5028 -2.6504
0.6158 2.4293 4.6183
Os Ru W
1 1 2
direct
0.5160 0.5160 0.0000
0.2352 0.7352 0.5000
0.9912 0.9912 0.0000
0.7575 0.2575 0.5000
```

=====

Compound: OsRuW2
Source: the Alexandria database
Functional: PBE
Structure: relaxed

Output
ΔH_f (0 K)   0.34 eV per atom
Theoretical density   17.80 Mg/m³
SG   F-43m
Energy relative to the lowest polymorph listed for this composition   0.294 eV per atom

The structure in POSCAR format:
```
OsRuW2
1.0
4.4297 0.0000 0.0000
2.2148 3.8362 0.0000
2.2148 1.2787 3.6168
Os Ru W
1 1 2
direct
0.5000 0.5000 0.5000
0.7500 0.7500 0.7500
0.0000 0.0000 0.0000
0.2500 0.2500 0.2500
```

=====

Compound: OsRuW2
Source: the Alexandria database
Functional: PBE
Structure: relaxed

Output
ΔH_f (0 K)   0.14 eV per atom
Theoretical density   18.01 Mg/m³
SG   C2/m
Energy relative to the lowest polymorph listed for this composition   0.097 eV per atom

The structure in POSCAR format:
```
OsRuW2
1.0
-3.8141 -2.7218 0.9923
-3.2300 -3.1003 -1.7014
2.2375 -4.1530 1.0687
Os Ru W
1 1 2
direct
0.2500 0.2500 0.2500
0.7500 0.7500 0.7500
0.0002 0.0002 0.9992
0.4998 0.4998 0.5008
```

=====

Compound: OsRuW2
Source: the Alexandria database
Functional: PBE
Structure: relaxed

Output
ΔH_f (0 K)   0.05 eV per atom
Theoretical density   18.05 Mg/m³
SG   I4/mmm
Energy relative to the lowest polymorph listed for this composition   0.009 eV per atom

The structure in POSCAR format:
```
OsRuW2
1.0
4.7795 0.0130 0.0000
1.4937 4.5401 0.0000
-3.1366 -2.2766 2.7969
Ru Os W
1 1 2
direct
0.7500 0.2500 0.5000
0.2500 0.7500 0.5000
0.0000 0.0000 0.0000
0.5000 0.5000 0.0000
```

=====

Compound: OsRuW2
Source: the Alexandria database
Functional: PBE
Structure: relaxed

Output
ΔH_f (0 K)   0.05 eV per atom
Theoretical density   18.05 Mg/m³
SG   P4/mmm
Energy relative to the lowest polymorph listed for this composition   0.004 eV per atom

The structure in POSCAR format:
```
OsRuW2
1.0
-0.7068 -2.3536 -1.3605
1.3582 0.9121 -2.2832
6.4432 -3.3720 2.4859
Os Ru W
1 1 2
direct
0.5000 0.5000 0.2500
0.5000 0.5000 0.7500
0.0000 0.0000 0.9998
0.0000 0.0000 0.5002
```

=====

Compound: OsRuW2
Source: the Alexandria database
Functional: PBE
Structure: relaxed

Output
ΔH_f (0 K)   0.10 eV per atom
Theoretical density   17.99 Mg/m³
SG   Cm
Energy relative to the lowest polymorph listed for this composition   0.050 eV per atom

The structure in POSCAR format:
```
OsRuW2
1.0
-0.5225 -4.4638 1.7328
-0.2484 -4.6980 -1.0339
4.6204 -1.1706 0.5568
Os Ru W
1 1 2
direct
0.4946 0.4946 0.4952
0.7554 0.7554 0.7548
0.0057 0.0057 0.9827
0.2443 0.2443 0.2673
```

=====

Compound: OsRuW2
Source: the Alexandria database
Functional: PBE
Structure: relaxed

Output
ΔH_f (0 K)   0.22 eV per atom
Theoretical density   17.87 Mg/m³
SG   R3m
Energy relative to the lowest polymorph listed for this composition   0.177 eV per atom

The structure in POSCAR format:
```
OsRuW2
1.0
-6.0895 7.0698 -0.4324
-6.8938 5.9817 1.9866
-4.7922 7.7872 1.9096
Os Ru W
1 1 2
direct
0.5000 0.5000 0.5000
0.7496 0.7496 0.7496
0.0034 0.0034 0.0034
0.2470 0.2470 0.2470
```

=====

Compound: Os4Ru3W
Source: the Alexandria database
Functional: PBE
Structure: relaxed

Output
ΔH_f (0 K)   0.54 eV per atom
Theoretical density   17.11 Mg/m³
SG   Imm2

The structure in POSCAR format:
```
Os4Ru3W
1.0
-2.5916 3.9048 -2.2159
-4.2290 -1.0208 3.1473
4.9779 1.2982 2.5295
Ru Os W
3 4 1
direct
0.7990 0.2350 0.4700
0.8771 0.0000 0.0000
0.3289 0.7650 0.5300
0.7895 0.7293 0.4587
0.3309 0.2707 0.5413
0.3329 0.2515 0.0000
0.3329 0.7485 0.0000
0.8598 0.5000 0.0000
```

=====

Compound: OsRu6W
Source: the Alexandria database
Functional: PBE
Structure: relaxed

Output
ΔH_f (0 K)   0.05 eV per atom
Theoretical density   14.29 Mg/m³
SG   P4/mmm

The structure in POSCAR format:
```
OsRu6W
1.0
3.8575 0.0000 0.0000
0.0000 5.4324 -0.1719
0.0000 0.1720 5.4324
Os Ru W
1 6 1
direct
0.5000 0.6250 0.3750
0.5000 0.1250 0.3750
0.5000 0.6250 0.8750
0.0000 0.3787 0.1287
0.0000 0.8713 0.6213
0.0000 0.3787 0.6213
0.0000 0.8713 0.1287
0.5000 0.1250 0.8750
```

=====

Compound: Os2Ru5W
Source: the Alexandria database
Functional: PBE
Structure: relaxed

Output
ΔH_f (0 K)   -0.05 eV per atom
Theoretical density   15.60 Mg/m³
SG   Fmm2

The structure in POSCAR format:
```
Os2Ru5W
1.0
-3.7532 -3.7646 -1.3978
3.3355 -0.8954 4.2761
-2.6784 4.2249 1.2098
Os Ru W
2 5 1
direct
0.2366 0.8203 0.5010
0.7355 0.3192 0.4990
0.2381 0.3175 0.5000
0.3179 0.7384 0.0000
0.8174 0.2379 0.0000
0.7381 0.8176 0.5000
0.3204 0.2353 0.0000
0.8190 0.7367 0.0000
```

=====

Compound: OsRuW2
Source: the Alexandria database
Functional: PBE
Structure: relaxed

Output
ΔH_f (0 K)   0.26 eV per atom
Theoretical density   17.60 Mg/m³
SG   P4mm
Energy relative to the lowest polymorph listed for this composition   0.216 eV per atom

The structure in POSCAR format:
```
OsRuW2
1.0
3.2071 0.0000 0.0000
0.0000 3.2071 0.0000
0.0000 0.0000 6.0448
Os Ru W
1 1 2
direct
0.0000 0.0000 0.4791
0.5000 0.5000 0.7773
0.0000 0.0000 0.9826
0.5000 0.5000 0.2611
```